Entry 1:
Compound: La4FeSn2
Source: Alexandria via LeMat-Bulk
Functional: GGA-PBE
Structure: optimized geometry

a = 4.9961 Å, b = 4.9961 Å, c = 17.5895 Å
α = 90.00°, β = 90.00°, γ = 90.00°
Space group I4/mmm (No. 139)
Asymmetric unit:
La  0.0000  0.0000  0.1738 [4 per cell]
La  0.0000  0.5000  0.0000 [4 per cell]
Fe  0.0000  0.0000  0.0000 [2 per cell]
Sn  0.0000  0.0000  0.3598 [4 per cell]

Output
D(E_F): 9.8 states/eV/cell
E: -5.621 eV/atom
energy relative to the elements: -3.17 eV per formula unit


Entry 2:
Compound: LaFeSn3
Source: Alexandria via LeMat-Bulk
Functional: GGA-PBE
Structure: optimized geometry

a = 5.0048 Å, b = 5.0048 Å, c = 5.0048 Å
α = 90.00°, β = 90.00°, γ = 90.00°
Space group Pm-3m (No. 221)
Asymmetric unit:
La  0.0000  0.0000  0.0000 [1 per cell]
Fe  0.5000  0.5000  0.5000 [1 per cell]
Sn  0.0000  0.5000  0.5000 [3 per cell]

Output
D(E_F): 4.9 states/eV/cell
E: -5.177 eV/atom
energy relative to the elements: -0.49 eV per formula unit


Entry 3:
Compound: La3FeSn
Source: Alexandria via LeMat-Bulk
Functional: GGA-PBE
Structure: optimized geometry

a = 5.2492 Å, b = 5.2492 Å, c = 5.2492 Å
α = 90.00°, β = 90.00°, γ = 90.00°
Space group Pm-3m (No. 221)
Asymmetric unit:
La  0.0000  0.0000  0.5000 [3 per cell]
Fe  0.0000  0.0000  0.0000 [1 per cell]
Sn  0.5000  0.5000  0.5000 [1 per cell]

Output
D(E_F): 3.0 states/eV/cell
E: -5.833 eV/atom
energy relative to the elements: -1.92 eV per formula unit


Entry 4:
Compound: LaFe3Sn
Source: Alexandria via LeMat-Bulk
Functional: GGA-PBE
Structure: optimized geometry

a = 4.7106 Å, b = 4.7106 Å, c = 4.7106 Å
α = 90.00°, β = 90.00°, γ = 90.00°
Space group Pm-3m (No. 221)
Asymmetric unit:
La  0.0000  0.0000  0.0000 [1 per cell]
Fe  0.0000  0.0000  0.5000 [3 per cell]
Sn  0.5000  0.5000  0.5000 [1 per cell]

Output
D(E_F): 7.4 states/eV/cell
E: -5.380 eV/atom
energy relative to the elements: 7.42 eV per formula unit


| no. | total magnetization (μB per atom) |
| --- | --- |
| 1 | 0.000 |
| 2 | 0.000 |
| 3 | 0.000 |
| 4 | 1.208 |